(1)
Ho6TmTl5: optimized geometry, PBE.

The structure in POSCAR format:
```
Ho6TmTl5
1.0
-3.691 -4.816 1.400
4.067 -7.673 -5.586
5.366 -5.157 1.447
Ho Tl Tm
6 5 1
Cartesian
-0.469 -6.091 1.011
2.569 -10.325 -0.504
6.211 -11.555 -3.750
3.174 -7.321 -2.235
0.262 -3.199 -1.202
0.115 -9.290 -2.984
3.178 -10.460 -3.669
6.093 -8.476 -3.008
3.340 -4.354 -1.131
2.564 -7.186 0.930
0.188 -6.245 -2.093
0.000 0.000 0.000
```

Output
calculated formation energy = -0.177 eV per atom
excess energy over the best structure of this formula in the dataset = 0.086 eV/atom



(2)
SbCBr2: optimized geometry, PBE.

The structure in POSCAR format:
```
SbCBr2
1.0
1.940 0.000 11.479
-0.970 1.680 11.479
-0.970 -1.680 11.479
Sb C Br
1 1 2
Cartesian
0.000 0.000 0.000
0.000 0.000 17.218
0.000 0.000 30.136
0.000 0.000 4.300
```

Output
formation energy without anion corrections = 1.32 eV per atom
excess energy over the best structure of this formula in the dataset = 0.000 eV/atom



(3)
Er4PuO10: optimized geometry, PBE.

The structure in POSCAR format:
```
Er4PuO10
1.0
4.849 0.000 2.189
2.424 5.901 1.095
-0.004 0.000 6.473
O Er Pu
10 4 1
Cartesian
3.350 4.218 2.081
5.921 4.218 3.242
4.252 5.383 6.548
4.847 2.951 5.426
6.823 5.383 7.709
3.919 1.683 7.676
1.348 1.683 6.515
3.017 0.518 3.209
0.446 0.518 2.048
2.422 2.951 4.331
3.396 1.240 5.406
1.914 2.372 2.225
3.873 4.662 4.351
5.355 3.529 7.533
0.000 0.000 0.000
```

Output
formation energy without anion corrections = -3.05 eV per atom



(4)
Y3MnAu5: optimized geometry, PBE.

The structure in POSCAR format:
```
Y3MnAu5
1.0
6.565 -4.283 -0.005
6.565 4.283 -0.005
3.777 0.000 6.869
Y Au Mn
6 10 2
Cartesian
10.647 -1.156 1.307
6.260 1.156 5.551
8.209 1.839 0.744
8.698 -1.839 6.114
9.450 2.995 4.259
7.457 -2.995 2.599
3.359 0.000 1.362
6.560 2.668 3.069
11.002 1.662 2.173
8.454 0.000 3.429
9.265 1.007 6.456
13.548 0.000 5.496
5.905 -1.662 4.685
7.642 -1.007 0.402
0.000 0.000 0.000
10.347 -2.668 3.789
11.057 0.000 4.485
5.850 0.000 2.373
```

Output
calculated formation energy = -0.702 eV per atom



(5)
P2Pd5Au: optimized geometry, PBE.

The structure in POSCAR format:
```
P2Pd5Au
1.0
-0.888 -3.396 -0.418
4.271 -2.381 -4.682
5.650 -3.482 1.337
P Pd Au
2 5 1
Cartesian
2.768 -2.431 -1.079
6.264 -6.828 -2.684
2.583 -3.992 -2.952
6.449 -5.267 -0.811
4.960 -2.932 -1.673
5.761 -4.718 -3.813
3.271 -4.541 0.050
0.000 0.000 0.000
```

Output
calculated formation energy = -0.377 eV per atom



(6)
Ce3Ge2I2: optimized geometry, PBE.

The structure in POSCAR format:
```
Ce3Ge2I2
1.0
4.269 -0.004 0.001
-2.127 7.168 -0.034
-0.004 -1.121 7.836
Ce Ge I
3 2 2
Cartesian
2.138 3.477 1.728
0.001 2.566 6.075
0.000 0.000 0.000
0.005 5.248 0.703
2.133 0.795 7.100
2.138 4.725 4.803
0.001 1.318 3.000
```

Output
formation energy without anion corrections = -0.79 eV per atom



(7)
Zr2CoCu2: optimized geometry, PBE.

The structure in POSCAR format:
```
Zr2CoCu2
1.0
6.791 0.000 0.000
0.000 6.791 0.000
0.000 0.000 3.560
Zr Cu Co
4 4 2
Cartesian
4.621 5.566 1.780
1.226 4.621 1.780
5.566 2.170 1.780
2.170 1.226 1.780
0.845 2.550 0.000
4.241 0.845 0.000
2.550 5.946 0.000
5.946 4.241 0.000
0.000 0.000 0.000
3.396 3.396 0.000
```

Output
calculated formation energy = -0.017 eV per atom



(8)
InAg2: optimized geometry, PBE.

The structure in POSCAR format:
```
InAg2
1.0
4.624 0.000 0.000
2.312 4.005 0.000
2.312 1.335 3.776
Ag In
2 1
Cartesian
2.312 1.335 0.944
6.936 4.005 2.832
0.000 0.000 0.000
```

Output
calculated formation energy = 0.175 eV per atom



(9)
NiPbAu2: optimized geometry, PBE.

The structure in POSCAR format:
```
NiPbAu2
1.0
4.015 0.000 0.000
0.000 4.015 0.000
0.000 0.000 4.638
Pb Au Ni
1 2 1
Cartesian
0.000 2.007 2.319
0.000 0.000 0.000
2.007 2.007 0.000
2.007 0.000 2.319
```

Output
calculated formation energy = 0.197 eV per atom



(10)
Y9ErTm4: optimized geometry, PBE.

The structure in POSCAR format:
```
Y9ErTm4
1.0
-0.636 -2.467 -10.959
9.272 2.490 -1.099
-2.327 -9.121 2.189
Y Er Tm
18 2 8
Cartesian
-0.524 -9.099 -9.178
6.833 0.002 -0.692
2.847 -4.399 -2.063
6.979 -3.754 -8.224
-0.670 -5.344 -1.646
1.964 -7.858 -1.233
6.547 -1.106 -5.612
3.372 -0.928 -0.281
0.345 -5.695 -9.995
0.631 -4.587 -5.074
3.462 -4.698 -7.807
5.964 -3.402 0.125
5.679 -4.510 -4.796
3.086 -2.036 -5.202
2.937 -8.170 -9.588
-0.238 -7.991 -4.257
4.345 -1.239 -8.637
3.223 -7.062 -4.667
5.247 -1.997 -2.743
1.062 -7.101 -7.127
-1.211 -8.461 -0.913
0.000 0.000 0.000
5.003 -6.792 -1.649
5.960 -6.749 -7.490
1.306 -2.306 -8.220
7.520 -0.637 -8.957
-0.318 -1.234 -5.480
0.349 -2.349 -2.379
```

Output
calculated formation energy = 0.166 eV per atom



(11)
PuZnCu: optimized geometry, PBE.

The structure in POSCAR format:
```
PuZnCu
1.0
2.993 0.000 0.000
0.000 2.993 0.000
-1.497 -1.497 5.948
Cu Zn Pu
1 1 1
Cartesian
0.000 0.000 3.110
1.497 1.497 1.704
1.497 1.497 5.299
```

Output
calculated formation energy = -0.027 eV per atom



(12)
CaIO2F: optimized geometry, PBE.

The structure in POSCAR format:
```
CaIO2F
1.0
-3.796 2.026 1.492
-2.329 -3.852 -0.693
0.872 -1.227 3.887
I O F Ca
1 2 1 1
Cartesian
-2.626 -1.526 2.343
-1.898 1.013 0.746
-1.164 -1.926 -0.347
0.436 -0.613 1.944
0.000 0.000 0.000
```

Output
formation energy without anion corrections = -0.94 eV per atom



DOS at the Fermi energy / states/eV per atom: 0.971 0.241 0.193 0.626 0.409 2.298 1.001 0.696 1.064 1.395 1.878 1.057